No. 1
AcZn5Ag7 | GGA-PBE | optimized geometry

```
AcZn5Ag7
1.0
-4.355 -1.305 -2.749
-1.865 -6.904 1.098
-6.019 1.199 3.833
Zn Ag Ac
5 7 1
direct
0.727 0.773 0.773
0.001 0.996 0.501
0.502 0.501 0.996
0.502 0.996 0.501
0.001 0.501 0.996
0.999 0.650 0.351
0.646 0.354 0.354
0.503 0.215 0.779
0.999 0.351 0.650
0.344 0.656 0.656
0.503 0.779 0.215
0.276 0.224 0.224
0.997 0.003 0.003
```

**Magnetization**: 0.00 μB per formula unit
**DFT total energy**: -2.48 eV/atom
**Calculated density**: 9.0 Mg/m³



No. 2
H2PtBr | GGA-PBE | optimized geometry

```
H2PtBr
1.0
-1.473 -1.804 1.700
0.801 -3.811 -3.349
6.492 -0.905 4.667
H Br Pt
4 2 2
direct
0.918 0.388 0.896
0.418 0.612 0.104
0.918 0.112 0.104
0.418 0.888 0.896
0.935 0.250 0.500
0.435 0.750 0.500
0.918 0.750 0.000
0.418 0.250 0.000
```

**Energy above the most stable polymorph in this dataset**: 0.0 meV per atom
**Magnetization**: 0.00 μB per formula unit
**DFT total energy**: -3.42 eV/atom
**Calculated density**: 7.8 Mg/m³



No. 3
NaLiLa2O | GGA-PBE | optimized geometry

```
NaLiLa2O
1.0
4.965 0.000 0.000
0.000 4.965 0.000
0.000 0.000 5.310
Na O La Li
1 1 2 1
direct
0.500 0.500 0.500
0.000 0.000 0.000
0.000 0.500 0.000
0.500 0.000 0.000
0.000 0.000 0.500
```

**Energy above the most stable polymorph in this dataset**: 56.8 meV per atom
**Raw formation energy**: -4.4 eV/f.u.
**Magnetization**: 0.00 μB per formula unit
**DFT total energy**: -4.50 eV/atom
**Calculated density**: 4.1 Mg/m³